(1)
# GGA-PBE TiTeF2, relaxed
data_TiTeF2
_cell_length_a 6.2197
_cell_length_b 6.2197
_cell_length_c 6.2197
_cell_angle_alpha 90.00
_cell_angle_beta 90.00
_cell_angle_gamma 90.00
_symmetry_space_group_name_H-M 'F m -3 m'
_symmetry_Int_Tables_number 225
_symmetry_space_group_name_Hall '-F 4 2 3'
loop_
_atom_site_label
_atom_site_fract_x
_atom_site_fract_y
_atom_site_fract_z
Ti1 0.0000 0.0000 0.0000
Te1 0.0000 0.0000 0.5000
F1 0.2500 0.2500 0.2500
# M_tot ... 0.00 μB per cell
# E_form (uncorrected) ... -1.087 eV per atom
# VASP energy ... -4.782 eV/atom
# Offset from the most stable computed form ... 0.8042 eV/atom

***

(2)
# GGA-PBE MoRhBr2, relaxed
data_MoRhBr2
_cell_length_a 3.1192
_cell_length_b 3.1192
_cell_length_c 29.3648
_cell_angle_alpha 90.00
_cell_angle_beta 90.00
_cell_angle_gamma 120.00
_symmetry_space_group_name_H-M 'R 3 m'
_symmetry_Int_Tables_number 160
_symmetry_space_group_name_Hall 'R 3 -2"'
loop_
_atom_site_label
_atom_site_fract_x
_atom_site_fract_y
_atom_site_fract_z
Mo1 0.0000 0.0000 0.0000
Rh1 0.0000 0.0000 0.2670
Br1 0.0000 0.0000 0.5256
Br2 0.0000 0.0000 0.7330
# M_tot ... 0.00 μB per cell
# E_form (uncorrected) ... 0.187 eV per atom
# VASP energy ... -5.195 eV/atom
# Offset from the most stable computed form ... 0.1935 eV/atom

***

(3)
# GGA-PBE BaHoMgTl, relaxed
data_BaHoMgTl
_cell_length_a 8.0791
_cell_length_b 8.0791
_cell_length_c 8.0791
_cell_angle_alpha 90.00
_cell_angle_beta 90.00
_cell_angle_gamma 90.00
_symmetry_space_group_name_H-M 'F -4 3 m'
_symmetry_Int_Tables_number 216
_symmetry_space_group_name_Hall 'F -4 2 3'
loop_
_atom_site_label
_atom_site_fract_x
_atom_site_fract_y
_atom_site_fract_z
Ba1 0.0000 0.0000 0.0000
Ho1 0.0000 0.0000 0.5000
Mg1 0.2500 0.2500 0.7500
Tl1 0.2500 0.2500 0.2500
# M_tot ... 0.00 μB per cell
# VASP energy ... -2.725 eV/atom

***

(4)
# GGA-PBE Sr2MgTl6In, relaxed
data_Sr2MgTl6In
_cell_length_a 11.3091
_cell_length_b 11.2568
_cell_length_c 7.4711
_cell_angle_alpha 90.00
_cell_angle_beta 131.14
_cell_angle_gamma 90.00
_symmetry_space_group_name_H-M 'C 1 2/m 1'
_symmetry_Int_Tables_number 12
_symmetry_space_group_name_Hall '-C 2y'
loop_
_atom_site_label
_atom_site_fract_x
_atom_site_fract_y
_atom_site_fract_z
Sr1 0.0000 0.2489 0.0000
Mg1 0.0000 0.5000 0.5000
Tl1 0.0000 0.2552 0.5000
Tl2 0.2430 0.5000 0.4950
Tl3 0.2444 0.5000 0.9897
In1 0.0000 0.0000 0.5000
# M_tot ... 0.00 μB per cell
# VASP energy ... -2.169 eV/atom

***

(5)
# GGA-PBE Sm3Tm5In2, relaxed
data_Sm3Tm5In2
_cell_length_a 12.7061
_cell_length_b 15.5635
_cell_length_c 6.3397
_cell_angle_alpha 90.00
_cell_angle_beta 90.00
_cell_angle_gamma 90.00
_symmetry_space_group_name_H-M 'I b a m'
_symmetry_Int_Tables_number 72
_symmetry_space_group_name_Hall '-I 2 2c'
loop_
_atom_site_label
_atom_site_fract_x
_atom_site_fract_y
_atom_site_fract_z
Sm1 0.0000 0.0000 0.2500
Sm2 0.1156 0.2359 0.0000
Tm1 0.0000 0.5000 0.2500
Tm2 0.1228 0.3373 0.5000
Tm3 0.2467 0.5000 0.2500
In1 0.1387 0.1476 0.5000
# M_tot ... 0.00 μB per cell
# VASP energy ... -4.137 eV/atom

***

(6)
# GGA-PBE Y4ZnRh, relaxed
data_Y4ZnRh
_cell_length_a 5.0212
_cell_length_b 4.8169
_cell_length_c 6.9334
_cell_angle_alpha 90.00
_cell_angle_beta 96.62
_cell_angle_gamma 90.00
_symmetry_space_group_name_H-M 'P 1 2/m 1'
_symmetry_Int_Tables_number 10
_symmetry_space_group_name_Hall '-P 2y'
loop_
_atom_site_label
_atom_site_fract_x
_atom_site_fract_y
_atom_site_fract_z
Y1 0.0383 0.0000 0.2579
Y2 0.4573 0.5000 0.7414
Zn1 0.0000 0.5000 0.0000
Rh1 0.5000 0.0000 0.5000
# M_tot ... 0.00 μB per cell
# VASP energy ... -6.019 eV/atom
# Offset from the most stable computed form ... 0.1855 eV/atom

***

(7)
# GGA-PBE CuHgPb2, relaxed
data_CuHgPb2
_cell_length_a 12.1362
_cell_length_b 3.4610
_cell_length_c 5.3277
_cell_angle_alpha 90.00
_cell_angle_beta 115.91
_cell_angle_gamma 90.00
_symmetry_space_group_name_H-M 'C 1 m 1'
_symmetry_Int_Tables_number 8
_symmetry_space_group_name_Hall 'C -2y'
loop_
_atom_site_label
_atom_site_fract_x
_atom_site_fract_y
_atom_site_fract_z
Cu1 0.0000 0.0000 0.0000
Hg1 0.1969 0.5000 0.1880
Pb1 0.2880 0.0000 0.7795
Pb2 0.4926 0.0000 0.4863
# M_tot ... 0.00 μB per cell
# VASP energy ... -2.790 eV/atom

***

(8)
# GGA-PBE Pm4CoPd, relaxed
data_Pm4CoPd
_cell_length_a 9.0267
_cell_length_b 14.2267
_cell_length_c 6.8462
_cell_angle_alpha 90.00
_cell_angle_beta 128.77
_cell_angle_gamma 90.00
_symmetry_space_group_name_H-M 'C 1 2/c 1'
_symmetry_Int_Tables_number 15
_symmetry_space_group_name_Hall '-C 2yc'
loop_
_atom_site_label
_atom_site_fract_x
_atom_site_fract_y
_atom_site_fract_z
Pm1 0.1613 0.2149 0.1603
Pm2 0.2438 0.0342 0.7475
Co1 0.0000 0.0878 0.2500
Pd1 0.0000 0.3734 0.7500
# M_tot ... 0.00 μB per cell
# VASP energy ... -5.463 eV/atom
# Offset from the most stable computed form ... 0.0153 eV/atom

***

(9)
# GGA-PBE MgZr2B2Rh5, relaxed
data_MgZr2B2Rh5
_cell_length_a 9.4253
_cell_length_b 9.4253
_cell_length_c 3.1553
_cell_angle_alpha 90.00
_cell_angle_beta 90.00
_cell_angle_gamma 90.00
_symmetry_space_group_name_H-M 'P 4/m b m'
_symmetry_Int_Tables_number 127
_symmetry_space_group_name_Hall '-P 4 2ab'
loop_
_atom_site_label
_atom_site_fract_x
_atom_site_fract_y
_atom_site_fract_z
Mg1 0.0000 0.0000 0.0000
Zr1 0.1763 0.3237 0.0000
B1 0.1242 0.6242 0.0000
Rh1 0.0000 0.5000 0.5000
Rh2 0.0703 0.7780 0.5000
# M_tot ... 0.00 μB per cell
# VASP energy ... -7.652 eV/atom

***

(10)
# GGA-PBE ZnRhAu, relaxed
data_ZnRhAu
_cell_length_a 2.9291
_cell_length_b 4.7684
_cell_length_c 13.4452
_cell_angle_alpha 90.00
_cell_angle_beta 90.00
_cell_angle_gamma 90.00
_symmetry_space_group_name_H-M 'F m m 2'
_symmetry_Int_Tables_number 42
_symmetry_space_group_name_Hall 'F 2 -2'
loop_
_atom_site_label
_atom_site_fract_x
_atom_site_fract_y
_atom_site_fract_z
Zn1 0.0000 0.0000 0.0000
Rh1 0.0000 0.0000 0.6512
Au1 0.0000 0.0000 0.3315
# M_tot ... 0.00 μB per cell
# VASP energy ... -4.018 eV/atom
# Offset from the most stable computed form ... 0.1342 eV/atom

***

(11)
# GGA-PBE Li4Si2Cl, relaxed
data_Li4Si2Cl
_cell_length_a 5.1586
_cell_length_b 5.1586
_cell_length_c 11.8094
_cell_angle_alpha 90.00
_cell_angle_beta 90.00
_cell_angle_gamma 90.00
_symmetry_space_group_name_H-M 'I 4/m m m'
_symmetry_Int_Tables_number 139
_symmetry_space_group_name_Hall '-I 4 2'
loop_
_atom_site_label
_atom_site_fract_x
_atom_site_fract_y
_atom_site_fract_z
Li1 0.0000 0.0000 0.1948
Li2 0.0000 0.5000 0.0000
Si1 0.0000 0.0000 0.4077
Cl1 0.0000 0.0000 0.0000
# M_tot ... 0.00 μB per cell
# E_form (uncorrected) ... -0.352 eV per atom
# VASP energy ... -3.258 eV/atom

***

(12)
# GGA-PBE Zr2Cd2Pb, relaxed
data_Zr2Cd2Pb
_cell_length_a 7.6364
_cell_length_b 7.6364
_cell_length_c 4.2708
_cell_angle_alpha 90.00
_cell_angle_beta 90.00
_cell_angle_gamma 90.00
_symmetry_space_group_name_H-M 'P 4/m b m'
_symmetry_Int_Tables_number 127
_symmetry_space_group_name_Hall '-P 4 2ab'
loop_
_atom_site_label
_atom_site_fract_x
_atom_site_fract_y
_atom_site_fract_z
Zr1 0.1414 0.3586 0.0000
Cd1 0.1547 0.6547 0.5000
Pb1 0.0000 0.0000 0.0000
# M_tot ... 2.13 μB per cell
# VASP energy ... -4.421 eV/atom
# Offset from the most stable computed form ... 0.0000 eV/atom